(1)
Compound: Mg3TiSb
Source: the Alexandria database
Functional: PBE
Structure: optimized geometry

```
Mg3TiSb
1.0
-1.361 1.279 4.961
4.642 -1.864 1.754
2.168 4.795 -0.642
Mg Sb Ti
3 1 1
direct
0.000 0.500 0.000 Mg
0.500 0.000 0.000 Mg
0.000 0.000 0.500 Mg
0.500 0.500 0.500 Sb
0.000 0.000 0.000 Ti
```

The energy above the lowest structure with this stoichiometry comes out at 90 meV per atom. The crystal system is cubic. Its space-group type is Pm-3m.

=====

(2)
Compound: MgTiSb
Source: the Alexandria database
Functional: PBE
Structure: optimized geometry

```
MgTiSb
1.0
3.123 0.000 0.000
0.000 4.830 0.000
0.000 -2.415 4.183
Ti Mg Sb
1 1 1
direct
0.944 0.000 0.000 Ti
0.394 0.333 0.667 Mg
0.662 0.667 0.333 Sb
```

The energy above the lowest structure with this stoichiometry comes out at 495 meV per atom. The crystal system is trigonal. Its space-group type is P3m1.

=====

(3)
Compound: MgTiSb2
Source: the Alexandria database
Functional: PBE
Structure: optimized geometry

```
MgTiSb2
1.0
-3.530 0.322 2.104
-1.656 -3.334 1.772
1.705 0.250 6.858
Ti Sb Mg
1 2 1
direct
0.666 0.666 0.001 Ti
0.258 0.258 0.227 Sb
0.076 0.076 0.772 Sb
0.500 0.500 0.500 Mg
```

The crystal system is trigonal. Its space-group type is R3m.

=====

no.,calculated density (g cm⁻³),raw formation energy (kJ per mole of atoms)
1,2.70,89
2,5.10,5
3,5.35,-25